Compound: Li2ScS
Source: Alexandria via LeMat-Bulk
Functional: PBE
Structure: optimized geometry

**Uncorrected formation energy**: -602 meV per atom

Cell lengths 7.923, 7.923, 5.011 Å; angles 90.00, 90.00, 90.00 degrees
Space group I-42d (No. 122)
Inequivalent atoms, fractional coordinates:
Li 0.162 0.250 0.125 x8
Sc 0.000 0.000 0.500 x4
S 0.000 0.000 0.000 x4


Compound: ErAl2Zn4
Source: Alexandria via LeMat-Bulk
Functional: PBE
Structure: optimized geometry

**Energy of formation**: -0.17 eV/atom

Cell lengths 8.146, 7.515, 5.038 Å; angles 90.00, 128.08, 90.00 degrees
Space group C2/m (No. 12)
Inequivalent atoms, fractional coordinates:
Er 0.000 0.000 0.000 x2
Al 0.000 0.500 0.253 x4
Zn 0.198 0.191 0.699 x8


Compound: LiPr2P4Pd3
Source: Alexandria via LeMat-Bulk
Functional: PBE
Structure: optimized geometry

**Energy of formation**: -0.94 eV/atom

Cell lengths 4.294, 4.294, 9.705 Å; angles 90.00, 90.00, 90.00 degrees
Space group P-4m2 (No. 115)
Inequivalent atoms, fractional coordinates:
Li 0.000 0.000 0.000 x1
Pr 0.000 0.500 0.745 x2
P 0.000 0.000 0.500 x1
P 0.000 0.500 0.135 x2
P 0.500 0.500 0.500 x1
Pd 0.000 0.500 0.387 x2
Pd 0.500 0.500 0.000 x1


Compound: Sm3Mg4Ag4
Source: Alexandria via LeMat-Bulk
Functional: PBE
Structure: optimized geometry

**Energy of formation**: -0.22 eV/atom

Cell lengths 4.119, 8.267, 15.554 Å; angles 90.00, 90.00, 90.00 degrees
Space group Immm (No. 71)
Inequivalent atoms, fractional coordinates:
Sm 0.000 0.000 0.000 x2
Sm 0.000 0.500 0.116 x4
Mg 0.000 0.308 0.328 x8
Ag 0.000 0.000 0.231 x4
Ag 0.000 0.195 0.500 x4


Compound: Ce2MnCo3B12
Source: Alexandria via LeMat-Bulk
Functional: PBE
Structure: optimized geometry

**Energy of formation**: -0.01 eV/atom

Cell lengths 5.3893, 5.3893, 22.2008 Å; angles 90.00, 90.00, 120.00 degrees
Space group R-3m (No. 166, hexagonal axes)
Inequivalent atoms, fractional coordinates:
Ce 0.0000 0.0000 0.1419 x6
Mn 0.0000 0.0000 0.5000 x3
Co 0.0000 0.5000 0.0000 x9
B 0.0868 0.5434 0.0927 x18
B 0.1061 0.2122 0.7369 x18


Compound: Sr2Pb3Au2
Source: Alexandria via LeMat-Bulk
Functional: PBE
Structure: optimized geometry

**Energy of formation**: -0.48 eV/atom
**Polymorph energy (0 for the lowest one)**: 0.06 eV/f.u.

Cell lengths 11.016, 4.782, 8.591 Å; angles 90.00, 112.59, 90.00 degrees
Space group C2/m (No. 12)
Inequivalent atoms, fractional coordinates:
Sr 0.134 0.000 0.297 x4
Pb 0.000 0.500 0.500 x2
Pb 0.135 0.500 0.946 x4
Au 0.167 0.000 0.701 x4